DFT (PBE) results for crystalline Re2AgSe at its relaxed geometry.

Properties
ΔE_f (raw) in eV per atom: 0.958
DFT total energy in eV/f.u.: -27.40
M_tot in μB per cell: 0.00
Theoretical density in g/cm3: 14.09

a b c (Å): 2.9334 4.6350 4.8489
angles (deg): 90.00 90.00 90.00
Sites, in units of the cell vectors:
Ag  0.0000  0.5000  0.5000
Re  0.0000  0.0000  0.0000
Re  0.5000  0.5000  0.0000
Se  0.5000  0.0000  0.5000


DFT (PBE) results for crystalline BaIn2Rh2 at its relaxed geometry.

Properties
DFT total energy in eV/f.u.: -23.96
Energy relative to the elements in eV/atom: -0.37
M_tot in μB per cell: 0.00
Theoretical density in g/cm3: 7.95

a b c (Å): 4.5856 4.5856 6.5484
angles (deg): 69.50 69.50 90.00
Sites, in units of the cell vectors:
Rh  0.3866  0.3866  0.2268
Rh  0.6134  0.6134  0.7732
Ba  0.0000  0.0000  0.0000
In  0.7500  0.2500  0.5000
In  0.2500  0.7500  0.5000


DFT (PBE) results for crystalline Tm3AlCd at its relaxed geometry.

Properties
DFT total energy in eV/f.u.: -18.56
Energy relative to the elements in eV/atom: -0.10
M_tot in μB per cell: 0.00
Theoretical density in g/cm3: 7.71

a b c (Å): 4.6889 6.6444 8.9295
angles (deg): 90.00 90.00 90.00
Sites, in units of the cell vectors:
Tm  0.7500  0.7500  0.0666
Tm  0.2500  0.2500  0.9334
Tm  0.7500  0.9930  0.7239
Tm  0.7500  0.5070  0.7239
Tm  0.2500  0.0070  0.2761
Tm  0.2500  0.4930  0.2761
Al  0.7500  0.2500  0.1291
Al  0.2500  0.7500  0.8709
Cd  0.7500  0.7500  0.4213
Cd  0.2500  0.2500  0.5787


DFT (PBE) results for crystalline CsP2Pd at its relaxed geometry.

Properties
DFT total energy in eV/f.u.: -13.48
Energy relative to the elements in eV/atom: 0.85
M_tot in μB per cell: 0.00
Theoretical density in g/cm3: 5.73

a b c (Å): 4.9791 4.9791 4.9791
angles (deg): 60.00 60.00 60.00
Sites, in units of the cell vectors:
Cs  0.5000  0.5000  0.5000
P  0.2500  0.2500  0.2500
P  0.7500  0.7500  0.7500
Pd  0.0000  0.0000  0.0000


DFT (PBE) results for crystalline Hf2CoMo at its relaxed geometry.

Properties
DFT total energy in eV/f.u.: -38.79
Energy relative to the elements in eV/atom: -0.24
M_tot in μB per cell: 0.07
Theoretical density in g/cm3: 12.49

a b c (Å): 3.2463 3.2463 6.4585
angles (deg): 90.00 90.00 90.00
Last column: magnetic moment on the atom in μB.
Sites, in units of the cell vectors:
Co  0.5000  0.5000  0.0000  0.12
Mo  0.5000  0.5000  0.5000  0.00
Hf  0.0000  0.0000  0.7584  -0.01
Hf  0.0000  0.0000  0.2416  -0.01


DFT (PBE) results for crystalline Co2SbRh at its relaxed geometry.

Properties
ΔE_f (raw) in eV per atom: 0.346
DFT total energy in eV/f.u.: -24.30
M_tot in μB per cell: 3.67
Theoretical density in g/cm3: 9.30

a b c (Å): 7.8995 7.8995 7.8995
angles (deg): 22.10 22.10 22.10
Last column: magnetic moment on the atom in μB.
Sites, in units of the cell vectors:
Co  0.9926  0.9926  0.9926  1.46
Co  0.2556  0.2556  0.2556  2.01
Rh  0.5039  0.5039  0.5039  0.31
Sb  0.7478  0.7478  0.7478  -0.02


DFT (PBE) results for crystalline Ba6In2PtO at its relaxed geometry.

Properties
ΔE_f (raw) in eV per atom: -0.778
DFT total energy in eV/f.u.: -35.79
M_tot in μB per cell: 0.00
Theoretical density in g/cm3: 5.27

a b c (Å): 8.2634 8.2633 11.6735
angles (deg): 90.00 90.00 90.00
Sites, in units of the cell vectors:
Ba  0.5000  0.2495  0.2628
Ba  0.5000  0.2495  0.7372
Ba  0.0000  0.7505  0.2372
Ba  0.0000  0.7505  0.7628
Ba  0.2629  0.0115  0.5000
Ba  0.7371  0.0115  0.5000
Ba  0.2624  0.4862  0.5000
Ba  0.7376  0.4862  0.5000
Ba  0.7624  0.5138  0.0000
Ba  0.2376  0.5138  0.0000
Ba  0.2371  0.9885  0.0000
Ba  0.7629  0.9885  0.0000
In  0.5000  0.7503  0.2499
In  0.0000  0.2497  0.7499
In  0.5000  0.7503  0.7501
In  0.0000  0.2497  0.2501
Pt  0.0000  0.7491  0.5000
Pt  0.5000  0.2509  0.0000
O  0.5000  0.2492  0.5000
O  0.0000  0.7508  0.0000


DFT (PBE) results for crystalline CsIn6Hg6 at its relaxed geometry.

Properties
DFT total energy in eV/f.u.: -19.62
Energy relative to the elements in eV/atom: -0.04
M_tot in μB per cell: 0.00
Theoretical density in g/cm3: 8.84

a b c (Å): 6.7250 8.2496 8.2496
angles (deg): 76.73 65.95 65.95
Sites, in units of the cell vectors:
Cs  0.0000  0.0000  0.0000
In  0.0000  0.5000  0.0000
In  0.5000  0.5000  0.0000
In  0.0000  0.0000  0.5000
In  0.5000  0.0000  0.5000
In  0.5000  0.7638  0.2362
In  0.5000  0.2362  0.7638
Hg  0.3500  0.6500  0.6500
Hg  0.6500  0.3500  0.3500
Hg  0.0000  0.3523  0.6477
Hg  0.0000  0.6477  0.3523
Hg  0.3058  0.1942  0.1942
Hg  0.6942  0.8058  0.8058


DFT (PBE) results for crystalline Tm2HfZn at its relaxed geometry.

Properties
DFT total energy in eV/f.u.: -20.65
Energy relative to the elements in eV/atom: -0.12
M_tot in μB per cell: 0.00
Theoretical density in g/cm3: 10.15

a b c (Å): 3.3583 3.3583 8.4381
angles (deg): 90.00 90.00 90.00
Sites, in units of the cell vectors:
Zn  0.5000  0.5000  0.0000
Tm  0.0000  0.0000  0.7701
Tm  0.0000  0.0000  0.2299
Hf  0.5000  0.5000  0.5000


DFT (PBE) results for crystalline CeAl9Zn3 at its relaxed geometry.

Properties
DFT total energy in eV/f.u.: -44.90
Energy relative to the elements in eV/atom: -0.11
M_tot in μB per cell: 0.00
Theoretical density in g/cm3: 4.28

a b c (Å): 5.3091 6.8975 7.1092
angles (deg): 82.13 68.07 68.49
Sites, in units of the cell vectors:
Ce  0.0000  0.0000  0.0000
Al  0.7155  0.7837  0.7814
Al  0.2845  0.2163  0.2186
Al  0.5031  0.2163  0.7814
Al  0.4969  0.7837  0.2186
Al  0.6515  0.3550  0.3545
Al  0.3485  0.6450  0.6455
Al  0.9940  0.6450  0.3545
Al  0.0060  0.3550  0.6455
Al  0.0000  0.5000  0.0000
Zn  0.5000  0.5000  0.0000
Zn  0.0000  0.0000  0.5000
Zn  0.5000  0.0000  0.5000


DFT (PBE) results for crystalline Tb3Y2TaN6 at its relaxed geometry.

Properties
ΔE_f (raw) in eV per atom: -1.591
DFT total energy in eV/f.u.: -107.71
M_tot in μB per cell: 0.00
Theoretical density in g/cm3: 9.11

a b c (Å): 5.8985 5.8985 5.8959
angles (deg): 99.60 99.60 119.97
Sites, in units of the cell vectors:
Tb  0.1662  0.8338  0.5000
Tb  0.8338  0.1662  0.5000
Tb  0.5000  0.5000  0.5000
Y  0.3334  0.6666  0.0000
Y  0.6666  0.3334  0.0000
Ta  0.0000  0.0000  0.0000
N  0.9226  0.6138  0.7681
N  0.7689  0.7689  0.2358
N  0.0774  0.3862  0.2319
N  0.6138  0.9226  0.7681
N  0.2311  0.2311  0.7642
N  0.3862  0.0774  0.2319


DFT (PBE) results for crystalline CoB at its relaxed geometry.

Properties
DFT total energy in eV/f.u.: -14.27
Energy relative to the elements in eV/atom: -0.24
M_tot in μB per cell: 0.00
Theoretical density in g/cm3: 7.47

a b c (Å): 3.9915 4.0949 7.5898
angles (deg): 90.00 90.00 90.00
Sites, in units of the cell vectors:
Co  0.8646  0.0790  0.9752
Co  0.3646  0.4210  0.0248
Co  0.1354  0.5790  0.5248
Co  0.6354  0.9210  0.4752
Co  0.3428  0.8681  0.8062
Co  0.8428  0.6319  0.1938
Co  0.6572  0.3681  0.6938
Co  0.1572  0.1319  0.3062
B  0.3661  0.9139  0.0795
B  0.8661  0.5861  0.9206
B  0.6339  0.4139  0.4206
B  0.1339  0.0861  0.5794
B  0.1623  0.3570  0.7765
B  0.6623  0.1430  0.2235
B  0.8377  0.8570  0.7235
B  0.3377  0.6430  0.2765


DFT (PBE) results for crystalline BaIr2Rh at its relaxed geometry.

Properties
DFT total energy in eV/f.u.: -25.61
Energy relative to the elements in eV/atom: 0.35
M_tot in μB per cell: 0.00
Theoretical density in g/cm3: 12.92

a b c (Å): 2.9194 3.6976 7.4374
angles (deg): 90.00 90.00 90.00
Sites, in units of the cell vectors:
Ba  0.5000  0.5000  0.7463
Ir  0.0000  0.0000  0.0798
Ir  0.5000  0.5000  0.2387
Rh  0.0000  0.0000  0.4353


DFT (PBE) results for crystalline Cs2I2O7 at its relaxed geometry.

Properties
ΔE_f (raw) in eV per atom: -0.743
DFT total energy in eV/f.u.: -47.69
M_tot in μB per cell: 0.00
Theoretical density in g/cm3: 3.44

a b c (Å): 5.8242 7.3668 7.3668
angles (deg): 101.04 96.62 96.62
Sites, in units of the cell vectors:
Cs  0.5000  0.3013  0.6987
Cs  0.5000  0.6987  0.3013
I  0.9194  0.2116  0.2116
I  0.0806  0.7884  0.7884
O  0.2546  0.8871  0.6319
O  0.7454  0.3681  0.1129
O  0.7454  0.1129  0.3681
O  0.2546  0.6319  0.8871
O  0.0000  0.0000  0.0000
O  0.8305  0.6410  0.6410
O  0.1695  0.3590  0.3590


DFT (PBE) results for crystalline Np3TlPd2Se6 at its relaxed geometry.

Properties
ΔE_f (raw) in eV per atom: -0.815
DFT total energy in eV/f.u.: -82.26
M_tot in μB per cell: 9.97
Theoretical density in g/cm3: 7.51

a b c (Å): 4.1962 9.3079 9.9053
angles (deg): 110.03 102.23 90.00
Last column: magnetic moment on the atom in μB.
Sites, in units of the cell vectors:
Np  0.5000  0.5000  0.0000  3.61
Np  0.8314  0.1695  0.6628  3.58
Np  0.1686  0.8305  0.3372  3.58
Tl  0.5000  0.0000  0.0000  -0.01
Pd  0.8838  0.5346  0.7676  -0.15
Pd  0.1162  0.4654  0.2324  -0.15
Se  0.3247  0.9581  0.6495  -0.12
Se  0.6621  0.6161  0.3241  -0.11
Se  0.6753  0.0419  0.3505  -0.12
Se  0.9889  0.2690  0.9778  -0.10
Se  0.0111  0.7310  0.0222  -0.10
Se  0.3379  0.3839  0.6759  -0.11


DFT (PBE) results for crystalline Ba2AsAu at its relaxed geometry.

Properties
DFT total energy in eV/f.u.: -15.37
Energy relative to the elements in eV/atom: -0.90
M_tot in μB per cell: 0.00
Theoretical density in g/cm3: 6.59

a b c (Å): 6.5516 6.5516 4.9567
angles (deg): 89.95 89.95 40.32
Sites, in units of the cell vectors:
As  0.5417  0.5417  0.3740
Au  0.7105  0.7105  0.8761
Ba  0.9916  0.9916  0.8745
Ba  0.2562  0.2562  0.3755


DFT (PBE) results for crystalline ZrZnIN2 at its relaxed geometry.

Properties
ΔE_f (raw) in eV per atom: 1.303
DFT total energy in eV/f.u.: -21.51
M_tot in μB per cell: 0.59
Theoretical density in g/cm3: 6.02

a b c (Å): 4.0790 4.0790 5.1626
angles (deg): 90.00 90.00 90.00
Last column: magnetic moment on the atom in μB.
Sites, in units of the cell vectors:
I  0.0000  0.0000  0.5000  0.02
Zn  0.0000  0.0000  0.0000  0.02
Zr  0.5000  0.5000  0.5000  -0.36
N  0.0000  0.5000  0.0000  0.38
N  0.5000  0.0000  0.0000  0.38


DFT (PBE) results for crystalline CsCaRuO4 at its relaxed geometry.

Properties
ΔE_f (raw) in eV per atom: -1.602
DFT total energy in eV/f.u.: -43.18
M_tot in μB per cell: 2.05
Theoretical density in g/cm3: 3.95

a b c (Å): 6.1824 6.0276 7.9462
angles (deg): 90.00 106.07 90.00
Last column: magnetic moment on the atom in μB.
Sites, in units of the cell vectors:
Cs  0.7403  0.7500  0.9467  0.00
Cs  0.2597  0.2500  0.0533  0.00
Ca  0.8227  0.7500  0.4695  0.00
Ca  0.1773  0.2500  0.5305  0.00
Ru  0.2844  0.7500  0.3525  0.59
Ru  0.7156  0.2500  0.6475  0.59
O  0.9494  0.4639  0.6691  0.04
O  0.0506  0.9639  0.3309  0.04
O  0.0506  0.5361  0.3309  0.04
O  0.9494  0.0361  0.6691  0.04
O  0.4301  0.7500  0.1858  0.10
O  0.5699  0.2500  0.8142  0.10
O  0.4700  0.7500  0.5710  0.14
O  0.5300  0.2500  0.4290  0.14


DFT (PBE) results for crystalline Mo3Cl at its relaxed geometry.

Properties
ΔE_f (raw) in eV per atom: 0.721
DFT total energy in eV/f.u.: -31.46
M_tot in μB per cell: 0.00
Theoretical density in g/cm3: 8.48

a b c (Å): 5.1489 5.1489 5.1489
angles (deg): 116.67 116.67 116.67
Sites, in units of the cell vectors:
Cl  0.0000  0.0000  0.0000
Mo  0.5000  0.0000  0.5000
Mo  0.5000  0.5000  0.0000
Mo  0.0000  0.5000  0.5000


DFT (PBE) results for crystalline In2Hg3Te6 at its relaxed geometry.

Properties
ΔE_f (raw) in eV per atom: -0.248
DFT total energy in eV/f.u.: -27.96
M_tot in μB per cell: 0.00
Theoretical density in g/cm3: 6.57

a b c (Å): 7.9710 7.9710 9.1261
angles (deg): 72.41 72.41 47.52
Sites, in units of the cell vectors:
In  0.9926  0.3408  0.1629
In  0.6592  0.0074  0.8371
Hg  0.9792  0.3397  0.6859
Hg  0.3868  0.6132  0.5000
Hg  0.6603  0.0208  0.3141
Te  0.2629  0.0409  0.9304
Te  0.5476  0.4402  0.7867
Te  0.9158  0.7568  0.5785
Te  0.2432  0.0842  0.4215
Te  0.5598  0.4524  0.2133
Te  0.9591  0.7371  0.0696


DFT (PBE) results for crystalline TcGe at its relaxed geometry.

Properties
DFT total energy in eV/f.u.: -15.14
Energy relative to the elements in eV/atom: -0.08
M_tot in μB per cell: 0.00
Theoretical density in g/cm3: 9.08

a b c (Å): 3.3652 3.2227 11.7539
angles (deg): 90.00 101.69 90.00
Sites, in units of the cell vectors:
Tc  0.8110  0.0000  0.8078
Tc  0.8110  0.5000  0.3078
Tc  0.9699  0.0000  0.5530
Tc  0.9699  0.5000  0.0530
Ge  0.2439  0.0000  0.2200
Ge  0.2439  0.5000  0.7200
Ge  0.4110  0.0000  0.9703
Ge  0.4110  0.5000  0.4703


DFT (PBE) results for crystalline HfNbV2 at its relaxed geometry.

Properties
DFT total energy in eV/f.u.: -37.72
Energy relative to the elements in eV/atom: 0.13
M_tot in μB per cell: 2.09
Theoretical density in g/cm3: 9.18

a b c (Å): 3.2437 4.5635 4.5635
angles (deg): 90.00 90.00 90.00
Last column: magnetic moment on the atom in μB.
Sites, in units of the cell vectors:
Nb  0.5000  0.0000  0.0000  -0.03
Hf  0.5000  0.5000  0.5000  0.22
V  0.0000  0.0000  0.5000  0.79
V  0.0000  0.5000  0.0000  0.79


DFT (PBE) results for crystalline TlCrGaTe3 at its relaxed geometry.

Properties
ΔE_f (raw) in eV per atom: -0.236
DFT total energy in eV/f.u.: -25.86
M_tot in μB per cell: 5.60
Theoretical density in g/cm3: 6.66

a b c (Å): 3.9065 8.7840 10.8495
angles (deg): 108.33 90.00 90.00
Last column: magnetic moment on the atom in μB.
Sites, in units of the cell vectors:
Tl  0.2500  0.2369  0.2901  -0.01
Tl  0.7500  0.7631  0.7099  -0.01
Cr  0.2500  0.6455  0.1569  2.97
Cr  0.7500  0.3545  0.8431  2.97
Ga  0.2500  0.1103  0.5653  0.00
Ga  0.7500  0.8897  0.4347  0.00
Te  0.7500  0.8735  0.1807  -0.09
Te  0.2500  0.1265  0.8193  -0.09
Te  0.2500  0.6512  0.4125  -0.06
Te  0.7500  0.3488  0.5875  -0.06
Te  0.7500  0.4136  0.1050  -0.15
Te  0.2500  0.5864  0.8950  -0.15


DFT (PBE) results for crystalline KBPb at its relaxed geometry.

Properties
DFT total energy in eV/f.u.: -10.23
Energy relative to the elements in eV/atom: 0.42
M_tot in μB per cell: 0.00
Theoretical density in g/cm3: 4.82

a b c (Å): 5.6263 6.6127 4.7623
angles (deg): 90.00 92.79 90.00
Sites, in units of the cell vectors:
Pb  0.0000  0.8992  0.5000
Pb  0.5000  0.8738  0.0000
K  0.5000  0.2981  0.5000
K  0.0000  0.5223  0.0000
B  0.1389  0.0654  0.0094
B  0.8611  0.0654  0.9906